! K2P2WO9, relaxed, DFT GGA+U; values from VASP
! SG   C2/c, No. 15
! Uncorrected energy   -382.7 eV for the cell shown
&SYSTEM
  ibrav = 0, nat = 56, ntyp = 4
/
ATOMIC_SPECIES
K 39.10 K.upf
P 30.97 P.upf
W 183.84 W.upf
O 16.00 O.upf
ATOMIC_POSITIONS angstrom
K 2.916 2.834 11.898
K -0.502 0.524 15.034
K 0.897 -0.524 7.271
K 7.108 2.834 11.393
K 4.314 -2.834 4.134
K 10.526 0.524 8.257
K 11.925 -0.524 0.493
K 8.507 -2.834 3.629
P 4.915 1.558 8.981
P 4.852 0.738 2.358
P 5.109 1.558 14.310
P 3.454 -0.738 10.122
P 7.969 0.738 5.406
P 6.314 -1.558 1.217
P 6.571 -0.738 13.169
P 6.507 -1.558 6.547
W 4.545 1.204 5.625
W 8.276 1.204 2.139
W 3.147 -1.204 13.388
W 6.878 -1.204 9.903
O 4.258 2.783 4.882
O 3.619 1.411 1.843
O 4.875 2.782 9.843
O 4.737 1.969 7.484
O 5.149 2.782 13.449
O 2.883 0.628 5.881
O 6.150 1.542 2.169
O 3.606 0.645 9.283
O 8.563 2.783 2.882
O 8.084 1.969 0.280
O 1.484 -0.628 13.645
O 6.672 1.542 5.595
O 4.758 0.237 3.845
O 3.862 0.675 14.155
O 3.360 -0.237 11.609
O 2.220 -1.411 9.607
O 5.005 -0.645 1.520
O 6.162 0.675 9.136
O 5.260 -0.675 6.391
O 6.418 0.645 14.008
O 9.203 1.411 5.920
O 8.063 0.237 3.919
O 7.561 -0.675 1.372
O 6.665 -0.237 11.682
O 4.751 -1.542 9.933
O 9.939 0.628 1.883
O 3.339 -1.969 15.248
O 2.860 -2.783 12.646
O 7.816 -0.645 6.244
O 5.273 -1.542 13.359
O 8.540 -0.628 9.647
O 6.274 -2.782 2.079
O 6.686 -1.969 8.043
O 6.547 -2.782 5.685
O 7.804 -1.411 13.684
O 7.164 -2.783 10.646
CELL_PARAMETERS angstrom
7.110 -4.144 0.000
7.110 4.144 0.000
-2.797 0.000 15.527